VASP calculation (PBE-GGA) on a geometry-optimized Er2Tc2Sn2C structure.

Geometry as CIF:
```
data_Er2Tc2Sn2C
_space_group_name_H-M_alt 'C 1 2/m 1'
_space_group_IT_number 12
_cell_length_a 11.8531
_cell_length_b 3.5448
_cell_length_c 7.5277
_cell_angle_alpha 90.00
_cell_angle_beta 118.20
_cell_angle_gamma 90.00
loop_
_space_group_symop_operation_xyz
'x,y,z'
'-x,-y,-z'
'-x,y,-z'
'x,-y,z'
'x+1/2,y+1/2,z'
'-x+1/2,-y+1/2,-z'
'-x+1/2,y+1/2,-z'
'x+1/2,-y+1/2,z'
loop_
_atom_site_label
_atom_site_fract_x
_atom_site_fract_y
_atom_site_fract_z
Er1 0.0412 0.0000 0.2548
Tc1 0.1762 0.5000 0.0475
Sn1 0.1666 0.5000 0.6627
C1 0.0000 0.5000 0.0000
```

* calculated formation energy: -0.42 eV per atom
* total magnetization: 0.0 μB per cell

***

VASP calculation (PBE-GGA) on a geometry-optimized Er2ThSnC structure.

Geometry as CIF:
```
data_Er2ThSnC
_space_group_name_H-M_alt 'P 4/m m m'
_space_group_IT_number 123
_space_group_name_Hall '-P 4 2'
_cell_length_a 4.8830
_cell_length_b 4.8830
_cell_length_c 5.0361
_cell_angle_alpha 90.00
_cell_angle_beta 90.00
_cell_angle_gamma 90.00
loop_
_atom_site_label
_atom_site_fract_x
_atom_site_fract_y
_atom_site_fract_z
Er1 0.0000 0.5000 0.0000
Th1 0.0000 0.0000 0.5000
Sn1 0.5000 0.5000 0.5000
C1 0.0000 0.0000 0.0000
```

* calculated formation energy: -0.52 eV per atom
* total magnetization: 0.0 μB per cell

***

VASP calculation (PBE-GGA) on a geometry-optimized Er4TlSnC structure.

Geometry as CIF:
```
data_Er4TlSnC
_space_group_name_H-M_alt 'I 4 m m'
_space_group_IT_number 107
_space_group_name_Hall 'I 4 -2'
_cell_length_a 4.7762
_cell_length_b 4.7762
_cell_length_c 15.6908
_cell_angle_alpha 90.00
_cell_angle_beta 90.00
_cell_angle_gamma 90.00
loop_
_atom_site_label
_atom_site_fract_x
_atom_site_fract_y
_atom_site_fract_z
Er1 0.0000 0.0000 0.0000
Er2 0.0000 0.0000 0.3205
Er3 0.0000 0.5000 0.1599
Tl1 0.0000 0.0000 0.5200
Sn1 0.0000 0.0000 0.7978
C1 0.0000 0.0000 0.1602
```

* calculated formation energy: -0.50 eV per atom
* total magnetization: 0.0 μB per cell

***

VASP calculation (PBE-GGA) on a geometry-optimized Er2TmSnC structure.

Geometry as CIF:
```
data_Er2TmSnC
_space_group_name_H-M_alt 'P 4/m m m'
_space_group_IT_number 123
_space_group_name_Hall '-P 4 2'
_cell_length_a 4.8361
_cell_length_b 4.8361
_cell_length_c 4.8089
_cell_angle_alpha 90.00
_cell_angle_beta 90.00
_cell_angle_gamma 90.00
loop_
_atom_site_label
_atom_site_fract_x
_atom_site_fract_y
_atom_site_fract_z
Er1 0.0000 0.5000 0.0000
Tm1 0.0000 0.0000 0.5000
Sn1 0.5000 0.5000 0.5000
C1 0.0000 0.0000 0.0000
```

* calculated formation energy: -0.66 eV per atom
* total magnetization: 0.0 μB per cell